# LaZn2Ag

A relaxed LaZn2Ag crystal (GGA-PBE, the Alexandria database).

Cell: 3.6220 4.7703 5.3860 Å, 90.00 90.07 90.00°
Closest atoms and distances in Å follow each position.
Fractional positions:
La  0.0000  0.0000  0.0000  4 Ag 3.24-3.25, 8 Zn 3.30, 2 La 3.62
Zn  0.4998  0.5000  0.2572  2 Zn 2.62-2.77, 2 Ag 2.72
Zn  0.5002  0.5000  0.7428  2 Zn 2.62-2.77, 2 Ag 2.72
Ag  0.5000  0.0000  0.5000  4 Zn 2.72

Properties
DFT total energy = -2.736 eV/atom
DFT formation energy = -0.617 eV per formula unit
Magnetic moment = 0.000 μB per formula unit